(1)
The following is a DFT calculation (PBE-GGA) of SrRh3N after structural relaxation.

As for the energy above the most stable polymorph in this dataset: 0.0000 eV/atom. For the uncorrected formation energy, the calculation gives 27 meV/atom. Its density of states at the Fermi level is 7.87 states/eV/f.u. For the total energy, the calculation gives -31.93 eV per cell.

a = 4.260 Å, b = 4.260 Å, c = 4.260 Å
α = 90.00°, β = 90.00°, γ = 90.00°
Space group Pm-3m (No. 221)
Symmetry-distinct sites (fractional):
Sr 0.000 0.000 0.000 x1
Rh 0.000 0.500 0.500 x3
N 0.500 0.500 0.500 x1

=====

(2)
The following is a DFT calculation (PBE-GGA) of ZnBiO3 after structural relaxation.

For the uncorrected formation energy, the calculation gives -787 meV/atom. Its density of states at the Fermi level is 1.35 states/eV/f.u. For the total energy, the calculation gives -23.96 eV per cell.

a = 3.869 Å, b = 3.869 Å, c = 3.869 Å
α = 90.00°, β = 90.00°, γ = 90.00°
Space group Pm-3m (No. 221)
Symmetry-distinct sites (fractional):
Zn 0.000 0.000 0.000 x1
Bi 0.500 0.500 0.500 x1
O 0.000 0.000 0.500 x3

=====

(3)
The following is a DFT calculation (PBE-GGA) of Li2ClF after structural relaxation.

As for the energy above the most stable polymorph in this dataset: 0.0680 eV/atom. For the uncorrected formation energy, the calculation gives -2290 meV/atom. Its density of states at the Fermi level is 0.00 states/eV/f.u. For the total energy, the calculation gives -50.11 eV per cell.

a = 3.5224 Å, b = 3.5224 Å, c = 17.4533 Å
α = 90.00°, β = 90.00°, γ = 120.00°
Space group R3m (No. 160, hexagonal axes)
Symmetry-distinct sites (fractional):
Li 0.0000 0.0000 0.0000 x3
Li 0.0000 0.0000 0.4711 x3
Cl 0.0000 0.0000 0.8632 x3
F 0.0000 0.0000 0.3642 x3

=====

(4)
The following is a DFT calculation (PBE-GGA) of ZnGa5Ir after structural relaxation.

The energy of formation comes out at 0.1 eV/f.u. Its density of states at the Fermi level is 1.81 states/eV/f.u. For the total energy, the calculation gives -100.80 eV per cell.

a = 11.301 Å, b = 7.118 Å, c = 9.595 Å
α = 90.00°, β = 121.87°, γ = 90.00°
Space group C2/c (No. 15)
Symmetry-distinct sites (fractional):
Zn 0.000 0.019 0.250 x4
Ga 0.000 0.485 0.250 x4
Ga 0.066 0.165 0.024 x8
Ga 0.247 0.443 0.666 x8
Ir 0.000 0.500 0.000 x4

=====

(5)
The following is a DFT calculation (PBE-GGA) of Bi2Au2I after structural relaxation.

As for the energy above the most stable polymorph in this dataset: 0.0776 eV/atom. For the uncorrected formation energy, the calculation gives 84 meV/atom. Its density of states at the Fermi level is 1.80 states/eV/f.u. For the total energy, the calculation gives -30.89 eV per cell.

a = 8.770 Å, b = 8.770 Å, c = 3.579 Å
α = 90.00°, β = 90.00°, γ = 90.00°
Space group P4/mbm (No. 127)
Symmetry-distinct sites (fractional):
Bi 0.184 0.316 0.000 x4
Au 0.115 0.615 0.500 x4
I 0.000 0.000 0.000 x2

=====

(6)
The following is a DFT calculation (PBE-GGA) of Na2CdI after structural relaxation.

As for the energy above the most stable polymorph in this dataset: 0.1229 eV/atom. For the uncorrected formation energy, the calculation gives -405 meV/atom. Its density of states at the Fermi level is 3.26 states/eV/f.u. For the total energy, the calculation gives -26.90 eV per cell.

a = 8.538 Å, b = 8.538 Å, c = 7.962 Å
α = 90.00°, β = 90.00°, γ = 90.00°
Space group I-42d (No. 122)
Symmetry-distinct sites (fractional):
Na 0.236 0.750 0.125 x8
Cd 0.000 0.000 0.500 x4
I 0.000 0.000 0.000 x4